Record 1
A plane-wave DFT calculation with PBE was carried out for a geometry-optimized PuHgCl2 structure.

a b c (Å): 3.9528 3.9528 10.5486
angles (deg): 79.20 79.20 60.00
Last column: nearest neighbours and their distance in Å.
Element x y z (fractional)
Hg 0.5000 0.5000 0.5000  6 Hg 3.95, 6 Cl 4.19
Pu 0.0000 0.0000 0.0000  6 Cl 2.81
Cl 0.2803 0.2803 0.1591  3 Pu 2.81
Cl 0.7197 0.7197 0.8409  3 Pu 2.81

Properties
Raw formation energy: -1.2931 eV per atom
Crystal system: trigonal
Space-group type: R-3m (166)
Density of states at the Fermi level: 8.28 states/eV per cell
Volume: 34.84 Å³ per atom

Record 2
A plane-wave DFT calculation with PBE was carried out for a geometry-optimized ZrIn2Pt structure.

a b c (Å): 9.3767 9.3767 9.3767
angles (deg): 20.03 20.03 20.03
Last column: nearest neighbours and their distance in Å.
Element x y z (fractional)
Pt 0.2500 0.2500 0.2500  6 In 2.80
In 0.5079 0.5079 0.5079  3 Pt 2.80
In 0.9921 0.9921 0.9921  3 Pt 2.80
Zr 0.7500 0.7500 0.7500  6 In 3.14, 6 Zr 3.26

Properties
Energy of formation: -0.77 eV per formula unit
Crystal system: trigonal
Space-group type: R-3m (166)
Density of states at the Fermi level: 3.45 states/eV per cell
Volume: 21.15 Å³ per atom

Record 3
A plane-wave DFT calculation with PBE was carried out for a geometry-optimized NaSr2SnRh structure.

a b c (Å): 5.8636 5.8636 5.1485
angles (deg): 90.00 90.00 90.00
Last column: nearest neighbours and their distance in Å.
Element x y z (fractional)
Sr 0.5000 0.0000 0.0000  2 Rh 2.93
Sr 0.0000 0.5000 0.0000  2 Rh 2.93
Sn 0.0000 0.0000 0.5000  2 Rh 2.57
Rh 0.0000 0.0000 0.0000  2 Sn 2.57
Na 0.5000 0.5000 0.5000  8 Sr 3.90, 4 Sn 4.15

Properties
Energy of formation: -1.62 eV per formula unit
Crystal system: tetragonal
Space-group type: P4/mmm (123)
Density of states at the Fermi level: 2.85 states/eV per cell
Volume: 35.40 Å³ per atom

Record 4
A plane-wave DFT calculation with PBE was carried out for a geometry-optimized Pu2ReIr structure.

a b c (Å): 2.8370 2.8370 10.7644
angles (deg): 82.43 82.43 60.00
Last column: nearest neighbours and their distance in Å.
Element x y z (fractional)
Pu 0.0873 0.0873 0.7382  1 Re 2.79, 6 Pu 2.84, 3 Ir 3.02
Ir 0.5000 0.5000 0.5000  6 Ir 2.84, 6 Pu 3.02
Re 0.0000 0.0000 0.0000  2 Pu 2.79, 6 Re 2.84
Pu 0.9127 0.9127 0.2618  1 Re 2.79, 6 Pu 2.84, 3 Ir 3.02

Properties
Energy of formation: 1.54 eV per formula unit
Crystal system: trigonal
Space-group type: R-3m (166)
Density of states at the Fermi level: 7.40 states/eV per cell
Volume: 18.54 Å³ per atom

Record 5
A plane-wave DFT calculation with PBE was carried out for a geometry-optimized SnTeI structure.

a b c (Å): 3.3266 5.6804 5.6804
angles (deg): 120.00 90.00 90.00
Last column: nearest neighbours and their distance in Å.
Element x y z (fractional)
Sn 0.4118 0.6667 0.3333  3 Te 3.30, 2 Sn 3.33, 3 I 3.49
Te 0.5335 0.3333 0.6667  3 Sn 3.30, 2 Te 3.33, 3 I 3.65
I 0.0548 0.0000 0.0000  2 I 3.33, 3 Sn 3.49, 6 Te 3.65-3.71

Properties
Raw formation energy: 0.0721 eV per atom
Crystal system: trigonal
Space-group type: P3m1 (156)
Density of states at the Fermi level: 2.44 states/eV per cell
Volume: 30.99 Å³ per atom

Record 6
A plane-wave DFT calculation with PBE was carried out for a geometry-optimized Pr10HoEr6 structure.

a b c (Å): 6.9314 9.8797 9.8797
angles (deg): 120.00 90.00 90.00
Last column: nearest neighbours and their distance in Å.
Element x y z (fractional)
Pr 0.1821 0.2756 0.2756  5 Er 3.39-3.65, 1 Ho 3.50, 2 Pr 3.71
Er 0.6847 0.6335 0.0000  7 Pr 3.39-3.65, 1 Er 3.68
Pr 0.5000 0.6667 0.3333  6 Er 3.39, 2 Pr 3.47
Er 0.3153 0.6335 0.6335  7 Pr 3.39-3.65, 1 Er 3.68
Er 0.6847 0.3665 0.3665  7 Pr 3.39-3.65, 1 Er 3.68
Pr 0.8179 0.2756 0.0000  5 Er 3.39-3.65, 1 Ho 3.50, 2 Pr 3.71
Ho 0.5000 0.0000 0.0000  6 Pr 3.50, 6 Er 3.84
Pr 0.8179 0.7244 0.7244  5 Er 3.39-3.65, 1 Ho 3.50, 2 Pr 3.71
Pr 0.0000 0.3333 0.6667  8 Pr 3.47-3.83, 6 Er 3.83
Pr 0.1821 0.7244 0.0000  5 Er 3.39-3.65, 1 Ho 3.50, 2 Pr 3.71
Er 0.6847 0.0000 0.6335  7 Pr 3.39-3.65, 1 Er 3.68
Pr 0.0000 0.6667 0.3333  8 Pr 3.47-3.83, 6 Er 3.83
Pr 0.8179 0.0000 0.2756  5 Er 3.39-3.65, 1 Ho 3.50, 2 Pr 3.71
Pr 0.5000 0.3333 0.6667  6 Er 3.39, 2 Pr 3.47
Pr 0.1821 0.0000 0.7244  5 Er 3.39-3.65, 1 Ho 3.50, 2 Pr 3.71
Er 0.3153 0.0000 0.3665  7 Pr 3.39-3.65, 1 Er 3.68
Er 0.3153 0.3665 0.0000  7 Pr 3.39-3.65, 1 Er 3.68

Properties
Energy of formation: 2.17 eV per formula unit
Crystal system: trigonal
Space-group type: P-31m (162)
Density of states at the Fermi level: 25.74 states/eV per cell
Volume: 34.47 Å³ per atom

no.,magnetic moment (μB per formula unit)
1,6.0
2,0.0
3,0.0
4,8.9
5,0.0
6,0.0